No. 1
Material: SrZn2Mo
Method: DFT, PBE-GGA
State: relaxed

Unit cell a=9.268 b=2.954 c=6.277 alpha=90.00 beta=98.21 gamma=90.00
Space group C2/m (No. 12)
Inequivalent atoms, fractional coordinates:
Sr 0.000 0.000 0.000 (multiplicity 2)
Zn 0.239 0.000 0.668 (multiplicity 4)
Mo 0.000 0.500 0.500 (multiplicity 2)

VASP energy	-0.123	Ha/atom
density of states at the Fermi level	1.04	states/eV per atom
volume	21.26	Å³/atom
E_form	0.427	eV/atom
M_tot	0.00	μB per formula unit
calculated density	6.14	g/cm³

=====

No. 2
Material: TmGa3Os
Method: DFT, PBE-GGA
State: relaxed

Unit cell a=6.390 b=6.390 c=6.390 alpha=90.00 beta=90.00 gamma=90.00
Space group Pm-3m (No. 221)
Inequivalent atoms, fractional coordinates:
Tm 0.000 0.000 0.500 (multiplicity 3)
Ga 0.000 0.000 0.000 (multiplicity 1)
Ga 0.286 0.286 0.286 (multiplicity 8)
Os 0.000 0.500 0.500 (multiplicity 3)

VASP energy	-0.200	Ha/atom
density of states at the Fermi level	0.38	states/eV per atom
volume	17.39	Å³/atom
E_form	-0.480	eV/atom
M_tot	0.00	μB per formula unit
calculated density	10.85	g/cm³

=====

No. 3
Material: NdMnRh2
Method: DFT, PBE-GGA
State: relaxed

Unit cell a=4.2887 b=4.2887 c=14.6859 alpha=90.00 beta=90.00 gamma=120.00
Space group R-3m (No. 166, hexagonal axes)
Inequivalent atoms, fractional coordinates:
Nd 0.0000 0.0000 0.0000 (multiplicity 3)
Mn 0.0000 0.0000 0.5000 (multiplicity 3)
Rh 0.0000 0.0000 0.2100 (multiplicity 6)

VASP energy	-0.275	Ha/atom
density of states at the Fermi level	0.76	states/eV per atom
volume	19.49	Å³/atom
E_form	-0.316	eV/atom
M_tot	3.73	μB per formula unit
calculated density	8.62	g/cm³

=====

No. 4
Material: YInCl
Method: DFT, PBE-GGA
State: relaxed

Unit cell a=3.409 b=3.409 c=15.637 alpha=90.00 beta=90.00 gamma=90.00
Space group I4mm (No. 107)
Inequivalent atoms, fractional coordinates:
Y 0.000 0.000 0.000 (multiplicity 2)
In 0.000 0.000 0.642 (multiplicity 2)
Cl 0.000 0.000 0.399 (multiplicity 2)

VASP energy	-0.167	Ha/atom
density of states at the Fermi level	0.94	states/eV per atom
volume	30.29	Å³/atom
uncorrected formation energy	-0.87	eV/atom
M_tot	0.00	μB per formula unit
calculated density	4.37	g/cm³

=====

Question: What is the density of states at the Fermi level in the third record?
Answer: 0.76 states/eV per atom